Density functional theory data (GGA-PBE) for a relaxed LuMg2In crystal.

Cell: 3.4624 3.4624 8.2339 Å, 90.00 90.00 90.00°
Fractional positions:
Lu1 0.0000 0.0000 0.0000
Mg1 0.5000 0.5000 0.2723
Mg2 0.5000 0.5000 0.7277
In1 0.0000 0.0000 0.5000

Calculated values
As for the offset from the most stable computed form: 148.1 meV/atom. The formation enthalpy at 0 K comes out at -0.085 eV/atom. As for the symmetry: P4/mmm, No. 123. The total moment comes out at 0.00 μB per formula unit.

Density functional theory data (GGA-PBE) for a relaxed Na2NiI crystal.

Cell: 7.5666 7.5666 7.5666 Å, 90.00 90.00 90.00°
Fractional positions:
Na1 0.2500 0.2500 0.2500
Na2 0.2500 0.2500 0.7500
Na3 0.2500 0.7500 0.2500
Na4 0.2500 0.7500 0.7500
Na5 0.7500 0.2500 0.2500
Na6 0.7500 0.2500 0.7500
Na7 0.7500 0.7500 0.2500
Na8 0.7500 0.7500 0.7500
Ni1 0.0000 0.0000 0.0000
Ni2 0.0000 0.5000 0.5000
Ni3 0.5000 0.0000 0.5000
Ni4 0.5000 0.5000 0.0000
I1 0.0000 0.0000 0.5000
I2 0.0000 0.5000 0.0000
I3 0.5000 0.0000 0.0000
I4 0.5000 0.5000 0.5000

Calculated values
As for the offset from the most stable computed form: 0.0 meV/atom. The calculation puts the formation energy (no corrections) at 0.117 eV/atom. As for the symmetry: Fm-3m, No. 225. The total moment comes out at 0.98 μB per formula unit.

Density functional theory data (GGA-PBE) for a relaxed La2PmRu crystal.

Cell: 4.0272 4.0272 27.9336 Å, 90.00 90.00 120.00°
Fractional positions:
La1 0.0000 0.0000 0.0000
La2 0.0000 0.0000 0.2196
La3 0.3333 0.6667 0.6667
La4 0.3333 0.6667 0.8863
La5 0.6667 0.3333 0.3333
La6 0.6667 0.3333 0.5529
Pm1 0.0000 0.0000 0.7757
Pm2 0.3333 0.6667 0.4424
Pm3 0.6667 0.3333 0.1090
Ru1 0.0000 0.0000 0.6114
Ru2 0.3333 0.6667 0.2781
Ru3 0.6667 0.3333 0.9448

Calculated values
As for the offset from the most stable computed form: 168.4 meV/atom. The formation enthalpy at 0 K comes out at -0.057 eV/atom. As for the symmetry: R3m, No. 160. The total moment comes out at 0.00 μB per formula unit.

Density functional theory data (GGA-PBE) for a relaxed TmGaCoRh crystal.

Cell: 6.2892 6.2892 6.2892 Å, 90.00 90.00 90.00°
Fractional positions:
Tm1 0.0000 0.0000 0.0000
Tm2 0.0000 0.5000 0.5000
Tm3 0.5000 0.0000 0.5000
Tm4 0.5000 0.5000 0.0000
Ga1 0.0000 0.0000 0.5000
Ga2 0.0000 0.5000 0.0000
Ga3 0.5000 0.0000 0.0000
Ga4 0.5000 0.5000 0.5000
Co1 0.2500 0.2500 0.2500
Co2 0.2500 0.7500 0.7500
Co3 0.7500 0.2500 0.7500
Co4 0.7500 0.7500 0.2500
Rh1 0.2500 0.2500 0.7500
Rh2 0.2500 0.7500 0.2500
Rh3 0.7500 0.2500 0.2500
Rh4 0.7500 0.7500 0.7500

Calculated values
The formation enthalpy at 0 K comes out at -0.567 eV/atom. As for the symmetry: F-43m, No. 216. The total moment comes out at 0.00 μB per formula unit.

Density functional theory data (GGA-PBE) for a relaxed Pm2Mg5Ag4 crystal.

Cell: 9.6150 8.1437 6.6263 Å, 80.52 56.66 42.82°
Fractional positions:
Pm1 0.1558 0.1558 0.8442
Pm2 0.8442 0.8442 0.1558
Mg1 0.0000 0.0000 0.5000
Mg2 0.2500 0.2500 0.2500
Mg3 0.5000 0.5000 0.0000
Mg4 0.5000 0.5000 0.5000
Mg5 0.7500 0.7500 0.7500
Ag1 0.2344 0.4808 0.5192
Ag2 0.4808 0.2344 0.7656
Ag3 0.5192 0.7656 0.2344
Ag4 0.7656 0.5192 0.4808

Calculated values
The formation enthalpy at 0 K comes out at -0.106 eV/atom. As for the symmetry: Fmmm, No. 69. The total moment comes out at 0.00 μB per formula unit.

Density functional theory data (GGA-PBE) for a relaxed KPPdRu2 crystal.

Cell: 5.1417 5.1417 4.4604 Å, 90.00 90.00 90.00°
Fractional positions:
K1 0.0000 0.0000 0.0000
P1 0.5000 0.5000 0.0000
Pd1 0.5000 0.5000 0.5000
Ru1 0.0000 0.5000 0.5000
Ru2 0.5000 0.0000 0.5000

Calculated values
The formation enthalpy at 0 K comes out at 1.302 eV/atom. As for the symmetry: P4/mmm, No. 123. The total moment comes out at 5.55 μB per formula unit.

Density functional theory data (GGA-PBE) for a relaxed TbZn2Ni3 crystal.

Cell: 6.0134 6.0134 5.1749 Å, 90.00 90.00 77.53°
Fractional positions:
Tb1 0.1717 0.8283 0.7500
Tb2 0.8283 0.1717 0.2500
Zn1 0.2787 0.2787 0.0000
Zn2 0.2787 0.2787 0.5000
Zn3 0.7213 0.7213 0.0000
Zn4 0.7213 0.7213 0.5000
Ni1 0.0737 0.6521 0.2500
Ni2 0.3479 0.9263 0.2500
Ni3 0.4715 0.5285 0.2500
Ni4 0.5285 0.4715 0.7500
Ni5 0.6521 0.0737 0.7500
Ni6 0.9263 0.3479 0.7500

Calculated values
The formation enthalpy at 0 K comes out at -0.283 eV/atom. As for the symmetry: Cmcm, No. 63. The total moment comes out at 0.00 μB per formula unit.

Density functional theory data (GGA-PBE) for a relaxed ZrPSe4 crystal.

Cell: 5.5591 5.5591 5.5591 Å, 60.00 60.00 60.00°
Fractional positions:
Zr1 0.0000 0.0000 0.0000
P1 0.7500 0.7500 0.7500
Se1 0.3741 0.3741 0.3741
Se2 0.3741 0.3741 0.8776
Se3 0.3741 0.8776 0.3741
Se4 0.8776 0.3741 0.3741

Calculated values
The calculation puts the formation energy (no corrections) at 0.517 eV/atom. As for the symmetry: F-43m, No. 216. The total moment comes out at 0.00 μB per formula unit.

The highest total moment belongs to which entry?
KPPdRu2